Here is an optimized crystal structure of CaAl3Cr from Alexandria. Energies are from PBE.

a b c (Å): 4.7085 4.7085 4.7085
angles (deg): 90.00 90.00 90.00
Last column: nearest neighbours and their distance in Å.
Space group Pm-3m (No. 221)
Asymmetric unit:
Ca: 0.0000 0.0000 0.0000 (multiplicity 1)  12 Al 3.33
Al: 0.0000 0.5000 0.5000 (multiplicity 3)  2 Cr 2.35
Cr: 0.5000 0.5000 0.5000 (multiplicity 1)  6 Al 2.35

## Properties
relative energy among the computed polymorphs	0.00	eV per formula unit